Entry 1:
# LaTc2Ru

LaTc2Ru after structural relaxation (PBEsol, Alexandria via LeMat-Bulk). Values from VASP.

Quantum ESPRESSO input file:
```
&SYSTEM
  ibrav = 0, nat = 4, ntyp = 3
/
ATOMIC_SPECIES
La 138.91 La.upf
Ru 101.07 Ru.upf
Tc 98.00 Tc.upf
ATOMIC_POSITIONS crystal
La 0.4995 0.9990 0.4983
Ru 0.7239 0.4479 0.1711
Tc 0.9962 0.9924 0.9981
Tc 0.2803 0.5607 0.8325
CELL_PARAMETERS angstrom
3.0804 0.0000 0.0000
-1.5402 4.6169 0.0099
0.0000 -1.6708 5.1641
```

**Formation energy from the elements**: 414 meV per atom
**Space group**: Cm (8)

---

Entry 2:
# CsCd2Rh

CsCd2Rh after structural relaxation (PBEsol, Alexandria via LeMat-Bulk). Values from VASP.

Quantum ESPRESSO input file:
```
&SYSTEM
  ibrav = 0, nat = 4, ntyp = 3
/
ATOMIC_SPECIES
Cs 132.91 Cs.upf
Rh 102.91 Rh.upf
Cd 112.41 Cd.upf
ATOMIC_POSITIONS crystal
Cs 0.5000 0.5000 0.5000
Rh 0.0000 0.0000 0.0000
Cd 0.2500 0.2500 0.2500
Cd 0.7500 0.7500 0.7500
CELL_PARAMETERS angstrom
5.2107 0.0000 0.0000
2.6054 4.5126 0.0000
2.6054 1.5042 4.2545
```

**Formation energy from the elements**: 698 meV per atom
**Space group**: Fm-3m (225)

---

Entry 3:
# Ce2MgSe4

Ce2MgSe4 after structural relaxation (PBEsol, Alexandria via LeMat-Bulk). Values from VASP.

Quantum ESPRESSO input file:
```
&SYSTEM
  ibrav = 0, nat = 14, ntyp = 3
/
ATOMIC_SPECIES
Ce 140.12 Ce.upf
Mg 24.30 Mg.upf
Se 78.96 Se.upf
ATOMIC_POSITIONS crystal
Ce 0.6282 0.3750 0.5032
Ce 0.1282 0.2532 0.6250
Ce 0.3718 0.8750 0.7468
Ce 0.8718 0.4968 0.1250
Mg 0.0000 0.0000 0.0000
Mg 0.5000 0.7500 0.2500
Se 0.7357 0.1100 0.2290
Se 0.1190 0.6257 0.8900
Se 0.2643 0.4933 0.3743
Se 0.8810 0.7710 0.5067
Se 0.6190 0.6400 0.8757
Se 0.7643 0.1243 0.7433
Se 0.3810 0.2567 0.0210
Se 0.2357 0.9790 0.3600
CELL_PARAMETERS angstrom
-2.8067 3.6205 -5.9527
-5.2177 -4.3162 3.2506
2.3043 4.8327 5.2684
```

**Uncorrected formation energy**: -1.566 eV per atom
**Space group**: I-42d (122)

---

Entry 4:
# InSnPb2

InSnPb2 after structural relaxation (PBEsol, Alexandria via LeMat-Bulk). Values from VASP.

Quantum ESPRESSO input file:
```
&SYSTEM
  ibrav = 0, nat = 4, ntyp = 3
/
ATOMIC_SPECIES
Pb 207.20 Pb.upf
Sn 118.71 Sn.upf
In 114.82 In.upf
ATOMIC_POSITIONS crystal
Pb 0.2500 0.2500 0.2500
Pb 0.7500 0.7500 0.7500
Sn 0.5000 0.5000 0.5000
In 0.0000 0.0000 0.0000
CELL_PARAMETERS angstrom
-0.3069 -4.5289 2.9203
4.4790 -2.1794 2.0789
0.8578 0.1601 5.3265
```

**Formation energy from the elements**: 40 meV per atom
**Space group**: Fm-3m (225)

---

Entry 5:
# ZnCd2Ag

ZnCd2Ag after structural relaxation (PBEsol, Alexandria via LeMat-Bulk). Values from VASP.

Quantum ESPRESSO input file:
```
&SYSTEM
  ibrav = 0, nat = 4, ntyp = 3
/
ATOMIC_SPECIES
Zn 65.41 Zn.upf
Ag 107.87 Ag.upf
Cd 112.41 Cd.upf
ATOMIC_POSITIONS crystal
Zn 0.2500 0.2500 0.2500
Ag 0.5000 0.5000 0.5000
Cd 0.0000 0.0000 0.0000
Cd 0.7500 0.7500 0.7500
CELL_PARAMETERS angstrom
-1.2808 -0.9154 -4.3640
1.7025 -3.7216 -2.1850
-2.7535 -3.6243 -0.8976
```

**Formation energy from the elements**: 41 meV per atom
**Space group**: F-43m (216)

---

Entry 6:
# VTe2

VTe2 after structural relaxation (PBEsol, Alexandria via LeMat-Bulk). Values from VASP.

Quantum ESPRESSO input file:
```
&SYSTEM
  ibrav = 0, nat = 9, ntyp = 2
/
ATOMIC_SPECIES
Te 127.60 Te.upf
V 50.94 V.upf
ATOMIC_POSITIONS crystal
Te 0.3530 0.7061 0.9851
Te 0.6470 0.2939 0.0149
Te 0.7060 0.4120 0.6174
Te 0.2940 0.5880 0.3826
Te 0.0049 0.0099 0.3053
Te 0.9951 0.9901 0.6947
V 0.0000 0.0000 0.0000
V 0.3624 0.7248 0.7096
V 0.6376 0.2752 0.2904
CELL_PARAMETERS angstrom
3.5203 0.0000 0.0000
-1.7602 7.0571 0.0902
0.0000 -3.2974 8.3924
```

**Uncorrected formation energy**: -0.350 eV per atom
**Space group**: C2/m (12)

---

Entry 7:
# KMnCl

KMnCl after structural relaxation (PBEsol, Alexandria via LeMat-Bulk). Values from VASP.

Quantum ESPRESSO input file:
```
&SYSTEM
  ibrav = 0, nat = 3, ntyp = 3
/
ATOMIC_SPECIES
K 39.10 K.upf
Mn 54.94 Mn.upf
Cl 35.45 Cl.upf
ATOMIC_POSITIONS crystal
K 0.2500 0.2500 0.2500
Mn 0.0000 0.0000 0.0000
Cl 0.5000 0.5000 0.5000
CELL_PARAMETERS angstrom
-3.6163 -3.8991 0.7056
1.2475 -5.0702 -1.2312
0.6828 -3.6176 3.9020
```

**Uncorrected formation energy**: 0.395 eV per atom
**Space group**: F-43m (216)

---

Entry 8:
# KTa3Nb

KTa3Nb after structural relaxation (PBEsol, Alexandria via LeMat-Bulk). Values from VASP.

Quantum ESPRESSO input file:
```
&SYSTEM
  ibrav = 0, nat = 5, ntyp = 3
/
ATOMIC_SPECIES
Nb 92.91 Nb.upf
K 39.10 K.upf
Ta 180.95 Ta.upf
ATOMIC_POSITIONS crystal
Nb 0.5000 0.5000 0.5000
K 0.0000 0.0000 0.0000
Ta 0.0000 0.5000 0.0000
Ta 0.0000 0.0000 0.5000
Ta 0.5000 0.0000 0.0000
CELL_PARAMETERS angstrom
-4.4987 -0.3486 0.6160
0.5700 -4.1340 1.8232
0.4196 1.8781 4.1274
```

**Formation energy from the elements**: 2759 meV per atom
**Space group**: Pm-3m (221)

---

Entry 9:
# La2ScP

La2ScP after structural relaxation (PBEsol, Alexandria via LeMat-Bulk). Values from VASP.

Quantum ESPRESSO input file:
```
&SYSTEM
  ibrav = 0, nat = 4, ntyp = 3
/
ATOMIC_SPECIES
La 138.91 La.upf
P 30.97 P.upf
Sc 44.96 Sc.upf
ATOMIC_POSITIONS crystal
La 0.1008 0.0000 0.2016
La 0.3973 0.5000 0.7946
P 0.8190 0.0000 0.6380
Sc 0.6917 0.5000 0.3833
CELL_PARAMETERS angstrom
4.1003 0.0000 0.0000
0.0000 4.4151 0.0000
-2.0501 0.0000 5.7413
```

**Formation energy from the elements**: -678 meV per atom
**Space group**: Amm2 (38)

---

Entry 10:
# ZrCrHS2

ZrCrHS2 after structural relaxation (PBEsol, Alexandria via LeMat-Bulk). Values from VASP.

Quantum ESPRESSO input file:
```
&SYSTEM
  ibrav = 0, nat = 5, ntyp = 4
/
ATOMIC_SPECIES
Cr 52.00 Cr.upf
S 32.06 S.upf
Zr 91.22 Zr.upf
H 1.01 H.upf
ATOMIC_POSITIONS crystal
Cr 0.5000 0.5000 0.5000
S 0.0000 0.0000 0.5000
S 0.0000 0.5000 0.0000
Zr 0.5000 0.0000 0.0000
H 0.0000 0.0000 0.0000
CELL_PARAMETERS angstrom
3.4014 0.0000 0.0000
0.0000 4.4269 0.0000
0.0000 0.0000 4.4269
```

**Space group**: P4/mmm (123)

---

Entry 11:
# Nd2GaAg

Nd2GaAg after structural relaxation (PBEsol, Alexandria via LeMat-Bulk). Values from VASP.

Quantum ESPRESSO input file:
```
&SYSTEM
  ibrav = 0, nat = 4, ntyp = 3
/
ATOMIC_SPECIES
Nd 144.24 Nd.upf
Ag 107.87 Ag.upf
Ga 69.72 Ga.upf
ATOMIC_POSITIONS crystal
Nd 0.7500 0.7500 0.7500
Nd 0.2500 0.2500 0.2500
Ag 0.0000 0.0000 0.0000
Ga 0.5000 0.5000 0.5000
CELL_PARAMETERS angstrom
-3.6223 3.4293 -1.4159
-5.0218 -1.2499 0.3254
-3.0002 2.2337 3.5910
```

**Formation energy from the elements**: -403 meV per atom
**Space group**: Fm-3m (225)

---

Entry 12:
# RbCd2Cu2

RbCd2Cu2 after structural relaxation (PBEsol, Alexandria via LeMat-Bulk). Values from VASP.

Quantum ESPRESSO input file:
```
&SYSTEM
  ibrav = 0, nat = 5, ntyp = 3
/
ATOMIC_SPECIES
Cu 63.55 Cu.upf
Rb 85.47 Rb.upf
Cd 112.41 Cd.upf
ATOMIC_POSITIONS crystal
Cu 0.2500 0.7500 0.5000
Cu 0.7500 0.2500 0.5000
Rb 0.0000 0.0000 0.0000
Cd 0.3564 0.3564 0.7129
Cd 0.6436 0.6436 0.2871
CELL_PARAMETERS angstrom
4.7709 0.0000 0.0000
0.0000 4.7709 0.0000
-2.3855 -2.3855 5.1652
```

**Formation energy from the elements**: 267 meV per atom
**Space group**: I4/mmm (139)

---

Entry 13:
# CaMo3N

CaMo3N after structural relaxation (PBEsol, Alexandria via LeMat-Bulk). Values from VASP.

Quantum ESPRESSO input file:
```
&SYSTEM
  ibrav = 0, nat = 5, ntyp = 3
/
ATOMIC_SPECIES
Mo 95.94 Mo.upf
Ca 40.08 Ca.upf
N 14.01 N.upf
ATOMIC_POSITIONS crystal
Mo 0.0000 0.5000 0.0000
Mo 0.0000 0.0000 0.5000
Mo 0.5000 0.0000 0.0000
Ca 0.5000 0.5000 0.5000
N 0.0000 0.0000 0.0000
CELL_PARAMETERS angstrom
-3.7494 0.0861 1.9086
-1.7437 -1.8725 -3.3409
0.7809 -3.7676 1.7041
```

**Uncorrected formation energy**: 0.165 eV per atom
**Space group**: Pm-3m (221)

---

Entry 14:
# Li2TlIn2

Li2TlIn2 after structural relaxation (PBEsol, Alexandria via LeMat-Bulk). Values from VASP.

Quantum ESPRESSO input file:
```
&SYSTEM
  ibrav = 0, nat = 10, ntyp = 3
/
ATOMIC_SPECIES
Tl 204.38 Tl.upf
Li 6.94 Li.upf
In 114.82 In.upf
ATOMIC_POSITIONS crystal
Tl 0.0000 0.0000 0.0000
Tl 0.0000 0.5000 0.5000
Li 0.5000 0.1765 0.6765
Li 0.5000 0.6765 0.8235
Li 0.5000 0.8235 0.3235
Li 0.5000 0.3235 0.1765
In 0.0000 0.3757 0.8757
In 0.0000 0.8757 0.6243
In 0.0000 0.6243 0.1243
In 0.0000 0.1243 0.3757
CELL_PARAMETERS angstrom
-2.4350 -1.7875 -0.8614
-0.8948 -2.5790 7.8807
-5.1919 6.3546 1.4901
```

**Formation energy from the elements**: -185 meV per atom
**Space group**: P4/mbm (127)

---

Entry 15:
# CaY2P

CaY2P after structural relaxation (PBEsol, Alexandria via LeMat-Bulk). Values from VASP.

Quantum ESPRESSO input file:
```
&SYSTEM
  ibrav = 0, nat = 4, ntyp = 3
/
ATOMIC_SPECIES
Ca 40.08 Ca.upf
P 30.97 P.upf
Y 88.91 Y.upf
ATOMIC_POSITIONS crystal
Ca 0.5000 0.5000 0.0000
P 0.5000 0.5000 0.5000
Y 0.0000 0.0000 0.6683
Y 0.0000 0.0000 0.3317
CELL_PARAMETERS angstrom
-0.7917 -1.0855 -3.2148
-1.0625 -3.0559 1.2935
-8.4888 3.3567 0.9572
```

**Formation energy from the elements**: -576 meV per atom
**Space group**: P4/mmm (123)

---

Entry 16:
# BaCe2S4

BaCe2S4 after structural relaxation (PBEsol, Alexandria via LeMat-Bulk). Values from VASP.

Quantum ESPRESSO input file:
```
&SYSTEM
  ibrav = 0, nat = 14, ntyp = 3
/
ATOMIC_SPECIES
Ba 137.33 Ba.upf
Ce 140.12 Ce.upf
S 32.06 S.upf
ATOMIC_POSITIONS crystal
Ba 0.0000 0.0000 0.0000
Ba 0.2500 0.7500 0.5000
Ce 0.6250 0.2501 0.1251
Ce 0.7499 0.8750 0.3749
Ce 0.1250 0.4999 0.8749
Ce 0.5001 0.3750 0.6251
S 0.5208 0.7665 0.9144
S 0.0165 0.2708 0.4144
S 0.2335 0.1479 0.7543
S 0.8564 0.6021 0.5856
S 0.3979 0.9835 0.2543
S 0.7292 0.1436 0.7457
S 0.3936 0.4792 0.2457
S 0.8521 0.6064 0.0856
CELL_PARAMETERS angstrom
-1.9167 0.4156 -7.2628
-2.6951 -6.3738 2.9506
-2.8852 5.8853 3.6924
```

**Uncorrected formation energy**: -1.992 eV per atom
**Space group**: I-42d (122)

---

Entry 17:
# Sr3Li

Sr3Li after structural relaxation (PBEsol, Alexandria via LeMat-Bulk). Values from VASP.

Quantum ESPRESSO input file:
```
&SYSTEM
  ibrav = 0, nat = 4, ntyp = 2
/
ATOMIC_SPECIES
Sr 87.62 Sr.upf
Li 6.94 Li.upf
ATOMIC_POSITIONS crystal
Sr 0.0000 0.5000 0.5000
Sr 0.5000 0.0000 0.5000
Sr 0.5000 0.5000 0.0000
Li 0.0000 0.0000 0.0000
CELL_PARAMETERS angstrom
5.6503 0.0000 0.0000
0.0000 5.6503 0.0000
0.0000 0.0000 5.6503
```

**Formation energy from the elements**: 71 meV per atom
**Space group**: Pm-3m (221)

---

Entry 18:
# FeSeOF2

FeSeOF2 after structural relaxation (PBEsol, Alexandria via LeMat-Bulk). Values from VASP.

Quantum ESPRESSO input file:
```
&SYSTEM
  ibrav = 0, nat = 5, ntyp = 4
/
ATOMIC_SPECIES
O 16.00 O.upf
Fe 55.84 Fe.upf
Se 78.96 Se.upf
F 19.00 F.upf
ATOMIC_POSITIONS crystal
O 0.5000 0.0000 0.0000
Fe 0.5000 0.5000 0.5000
Se 0.0000 0.0000 0.0000
F 0.0000 0.0000 0.5000
F 0.0000 0.5000 0.0000
CELL_PARAMETERS angstrom
-3.3777 -1.4499 0.5188
1.8514 -3.9223 1.0922
0.1216 1.2525 4.2920
```

**Uncorrected formation energy**: -0.126 eV per atom
**Space group**: P4/mmm (123)

---

Entry 19:
# Y3BPd

Y3BPd after structural relaxation (PBEsol, Alexandria via LeMat-Bulk). Values from VASP.

Quantum ESPRESSO input file:
```
&SYSTEM
  ibrav = 0, nat = 5, ntyp = 3
/
ATOMIC_SPECIES
Y 88.91 Y.upf
B 10.81 B.upf
Pd 106.42 Pd.upf
ATOMIC_POSITIONS crystal
Y 0.0000 0.5000 0.0000
Y 0.0000 0.0000 0.5000
Y 0.5000 0.0000 0.0000
B 0.0000 0.0000 0.0000
Pd 0.5000 0.5000 0.5000
CELL_PARAMETERS angstrom
-2.3578 1.1054 -4.1512
-4.2608 -1.2062 2.0988
-0.5484 4.6192 1.5415
```

**Formation energy from the elements**: -104 meV per atom
**Space group**: Pm-3m (221)

---

Entry 20:
# K2BaCa

K2BaCa after structural relaxation (PBEsol, Alexandria via LeMat-Bulk). Values from VASP.

Quantum ESPRESSO input file:
```
&SYSTEM
  ibrav = 0, nat = 4, ntyp = 3
/
ATOMIC_SPECIES
K 39.10 K.upf
Ca 40.08 Ca.upf
Ba 137.33 Ba.upf
ATOMIC_POSITIONS crystal
K 0.0000 0.0000 0.9794
K 0.5000 0.5000 0.2553
Ca 0.5000 0.5000 0.7423
Ba 0.0000 0.0000 0.5230
CELL_PARAMETERS angstrom
4.1562 0.0000 0.0000
0.0000 4.1562 0.0000
0.0000 0.0000 13.4076
```

**Formation energy from the elements**: 95 meV per atom
**Space group**: P4mm (99)

---

Calculated uncorrected energy, -9.099; -2.171; -5.896; -3.769; -1.781; -5.912; -3.906; -7.163; -6.451; -6.565; -4.649; -2.150; -9.028; -2.691; -5.969; -6.688; -1.801; -4.509; -6.792; -1.542 eV/atom (same order as the records).
Calculated volume, 18.4; 25.0; 23.2; 27.8; 17.7; 23.3; 36.4; 18.9; 26.0; 13.3; 24.6; 23.5; 14.9; 21.8; 27.9; 23.4; 45.1; 14.9; 23.5; 57.9 Å³ per atom (same order as the records).